Below is an optimized crystal structure of ZrCdSnH2, with properties calculated at the PBE-GGA level.

## Properties
As for the space group: No. 25. The magnetization is 0.000 μB per cell. The value obtained for the relative energy among the computed polymorphs is 18.3 kJ/mol of atoms.

Cell: 3.0812 4.9874 5.5914 Å, 90.00 90.00 90.00°
With the nearest neighbours (Å) after each atom.
Sites, in units of the cell vectors:
1 Zr 0.0000 0.5000 0.8316  4 H 2.08
2 Cd 0.5000 0.5000 0.3312  2 H 2.26
3 H 0.5000 0.7254 0.6826  2 Zr 2.08, 1 H 2.25, 1 Sn 2.25, 1 Cd 2.26
4 H 0.5000 0.2746 0.6826  2 Zr 2.08, 1 H 2.25, 1 Sn 2.25, 1 Cd 2.26
5 Sn 0.5000 0.0000 0.0023  2 H 2.25